Record 1
# Rb2CaPbI6, optimized geometry, DFT PBE
# Offset from the most stable computed form ... 51 meV per atom
# Formation energy without anion corrections ... -1.224 eV per atom
data_Rb2CaPbI6
_space_group_name_H-M_alt 'F m -3 m'
_space_group_IT_number 225
_space_group_name_Hall '-F 4 2 3'
_cell_length_a 12.5869
_cell_length_b 12.5869
_cell_length_c 12.5869
_cell_angle_alpha 90.00
_cell_angle_beta 90.00
_cell_angle_gamma 90.00
loop_
_atom_site_label
_atom_site_type_symbol
_atom_site_fract_x
_atom_site_fract_y
_atom_site_fract_z
Rb1 Rb 0.2500 0.2500 0.2500
Ca1 Ca 0.0000 0.0000 0.0000
Pb1 Pb 0.0000 0.0000 0.5000
I1 I 0.0000 0.0000 0.2461

=====

Record 2
# Rb2CaPbI6, optimized geometry, DFT PBE
# Offset from the most stable computed form ... 0 meV per atom
# Formation energy without anion corrections ... -1.275 eV per atom
data_Rb2CaPbI6
_space_group_name_H-M_alt 'P 1 21/c 1'
_space_group_IT_number 14
_space_group_name_Hall '-P 2ybc'
_cell_length_a 8.4792
_cell_length_b 8.9195
_cell_length_c 14.8797
_cell_angle_alpha 90.00
_cell_angle_beta 124.72
_cell_angle_gamma 90.00
loop_
_atom_site_label
_atom_site_type_symbol
_atom_site_fract_x
_atom_site_fract_y
_atom_site_fract_z
Rb1 Rb 0.2210 0.0816 0.2503
Ca1 Ca 0.5000 0.0000 0.0000
Pb1 Pb 0.0000 0.0000 0.5000
I1 I 0.1448 0.1938 0.9479
I2 I 0.2585 0.7016 0.9471
I3 I 0.3604 0.0229 0.7542

=====

Record 3
# CaPbSI2, optimized geometry, DFT PBE
# Formation energy without anion corrections ... -0.024 eV per atom
data_CaPbSI2
_space_group_name_H-M_alt 'P 4/m m m'
_space_group_IT_number 123
_space_group_name_Hall '-P 4 2'
_cell_length_a 5.6505
_cell_length_b 5.6505
_cell_length_c 12.3430
_cell_angle_alpha 90.00
_cell_angle_beta 90.00
_cell_angle_gamma 90.00
loop_
_atom_site_label
_atom_site_type_symbol
_atom_site_fract_x
_atom_site_fract_y
_atom_site_fract_z
Ca1 Ca 0.0000 0.0000 0.0000
Pb1 Pb 0.0000 0.0000 0.5000
S1 S 0.5000 0.5000 0.5000
I1 I 0.0000 0.5000 0.0000

=====

Record 4
# CaPb2SI, optimized geometry, DFT PBE
# Formation energy without anion corrections ... -0.002 eV per atom
data_CaPb2SI
_space_group_name_H-M_alt 'P 4/m m m'
_space_group_IT_number 123
_space_group_name_Hall '-P 4 2'
_cell_length_a 6.2022
_cell_length_b 6.2022
_cell_length_c 5.0192
_cell_angle_alpha 90.00
_cell_angle_beta 90.00
_cell_angle_gamma 90.00
loop_
_atom_site_label
_atom_site_type_symbol
_atom_site_fract_x
_atom_site_fract_y
_atom_site_fract_z
Ca1 Ca 0.0000 0.0000 0.0000
Pb1 Pb 0.0000 0.5000 0.0000
S1 S 0.0000 0.0000 0.5000
I1 I 0.5000 0.5000 0.5000

=====

Record 5
# CaSnPbI6, optimized geometry, DFT PBE
# Formation energy without anion corrections ... -0.882 eV per atom
data_CaSnPbI6
_space_group_name_H-M_alt 'P 42 n m'
_space_group_IT_number 102
_space_group_name_Hall 'P 4n -2n'
_cell_length_a 7.5665
_cell_length_b 7.5665
_cell_length_c 14.3212
_cell_angle_alpha 90.00
_cell_angle_beta 90.00
_cell_angle_gamma 90.00
loop_
_atom_site_label
_atom_site_type_symbol
_atom_site_fract_x
_atom_site_fract_y
_atom_site_fract_z
Ca1 Ca 0.0000 0.0000 0.0000
Sn1 Sn 0.0000 0.0000 0.6668
Pb1 Pb 0.0000 0.0000 0.3328
I1 I 0.1945 0.1945 0.8348
I2 I 0.1988 0.1988 0.1627
I3 I 0.2030 0.2030 0.5021

=====

Record 6
# CaSnPb2I, optimized geometry, DFT PBE
# Formation energy without anion corrections ... 0.313 eV per atom
data_CaSnPb2I
_space_group_name_H-M_alt 'P 4/m m m'
_space_group_IT_number 123
_space_group_name_Hall '-P 4 2'
_cell_length_a 6.4610
_cell_length_b 6.4610
_cell_length_c 6.1959
_cell_angle_alpha 90.00
_cell_angle_beta 90.00
_cell_angle_gamma 90.00
loop_
_atom_site_label
_atom_site_type_symbol
_atom_site_fract_x
_atom_site_fract_y
_atom_site_fract_z
Ca1 Ca 0.0000 0.0000 0.0000
Sn1 Sn 0.5000 0.5000 0.5000
Pb1 Pb 0.0000 0.5000 0.5000
I1 I 0.5000 0.5000 0.0000